(1)
{
  "formula": "CaLaPr6Ho2",
  "functional": "GGA-PBE",
  "state": "optimized geometry",
  "cell": [[-2.837, 6.487, 6.918], [1.192, -6.763, 6.023], [7.299, 4.924, -2.430]],
  "species": ["Ca", "Ca", "La", "La", "Pr", "Pr", "Pr", "Pr", "Pr", "Pr", "Pr", "Pr", "Pr", "Pr", "Pr", "Pr", "Ho", "Ho", "Ho", "Ho"],
  "frac_coords": [[0.250, 0.971, 0.029], [0.750, 0.029, 0.971], [0.250, 0.407, 0.593], [0.750, 0.593, 0.407], [0.053, 0.117, 0.755], [0.447, 0.245, 0.883], [0.947, 0.883, 0.245], [0.553, 0.755, 0.117], [0.322, 0.979, 0.446], [0.178, 0.554, 0.021], [0.678, 0.021, 0.554], [0.822, 0.446, 0.979], [0.120, 0.706, 0.493], [0.380, 0.507, 0.294], [0.880, 0.294, 0.507], [0.620, 0.493, 0.706], [0.454, 0.805, 0.700], [0.046, 0.300, 0.195], [0.546, 0.195, 0.300], [0.954, 0.700, 0.805]],
  "final_energy_ev_per_cell": -87.2,
  "sg": "C2/c, No. 15",
  "total_magnetization_mub_per_atom": 0.000,
  "e_form_ev_per_atom": 0.117
}

=====

(2)
{
  "formula": "CaLa2Pr2Ho2",
  "functional": "GGA-PBE",
  "state": "optimized geometry",
  "cell": [[5.237, 0.000, 0.000], [-2.619, 5.813, 0.231], [0.000, -1.552, 8.109]],
  "species": ["Ca", "La", "La", "Pr", "Pr", "Ho", "Ho"],
  "frac_coords": [[0.000, 0.000, 0.000], [0.144, 0.288, 0.432], [0.856, 0.712, 0.568], [0.717, 0.433, 0.146], [0.283, 0.567, 0.854], [0.575, 0.150, 0.706], [0.425, 0.850, 0.294]],
  "final_energy_ev_per_cell": -30.2,
  "sg": "C2/m, No. 12",
  "total_magnetization_mub_per_atom": 0.000,
  "e_form_ev_per_atom": 0.057
}

=====

(3)
{
  "formula": "CaLa2Pr6Ho",
  "functional": "GGA-PBE",
  "state": "optimized geometry",
  "cell": [[-6.227, -0.862, -8.102], [-2.036, -8.116, 3.599], [-3.990, 7.428, 3.447]],
  "species": ["Ca", "Ca", "La", "La", "La", "La", "Pr", "Pr", "Pr", "Pr", "Pr", "Pr", "Pr", "Pr", "Pr", "Pr", "Pr", "Pr", "Ho", "Ho"],
  "frac_coords": [[0.250, 0.396, 0.604], [0.750, 0.604, 0.396], [0.455, 0.794, 0.702], [0.045, 0.298, 0.206], [0.545, 0.206, 0.298], [0.955, 0.702, 0.794], [0.051, 0.120, 0.764], [0.449, 0.236, 0.880], [0.949, 0.880, 0.236], [0.551, 0.764, 0.120], [0.327, 0.966, 0.413], [0.173, 0.587, 0.034], [0.673, 0.034, 0.587], [0.827, 0.413, 0.966], [0.126, 0.720, 0.507], [0.374, 0.493, 0.280], [0.874, 0.280, 0.493], [0.626, 0.507, 0.720], [0.250, 0.981, 0.019], [0.750, 0.019, 0.981]],
  "final_energy_ev_per_cell": -87.9,
  "sg": "C2/c, No. 15",
  "total_magnetization_mub_per_atom": 0.000,
  "e_form_ev_per_atom": 0.115
}

=====

(4)
{
  "formula": "Ca3La3HoS8",
  "functional": "GGA-PBE",
  "state": "optimized geometry",
  "cell": [[-5.960, -5.121, 2.314], [6.862, -2.954, -3.361], [0.157, 3.202, 7.489]],
  "species": ["Ca", "Ca", "Ca", "La", "La", "La", "Ho", "S", "S", "S", "S", "S", "S", "S", "S"],
  "frac_coords": [[0.000, 0.000, 0.000], [0.000, 0.500, 0.000], [0.500, 0.500, 0.000], [0.500, 0.000, 0.500], [0.500, 0.500, 0.500], [0.000, 0.500, 0.500], [0.000, 0.000, 0.500], [0.247, 0.493, 0.240], [0.753, 0.507, 0.760], [0.762, 0.523, 0.258], [0.238, 0.477, 0.742], [0.762, 0.996, 0.258], [0.238, 0.004, 0.742], [0.235, 0.996, 0.258], [0.765, 0.004, 0.742]],
  "final_energy_ev_per_cell": -90.2,
  "sg": "R-3m, No. 166",
  "total_magnetization_mub_per_atom": 0.000,
  "raw_formation_energy_ev_per_atom": -2.119
}

=====

(5)
{
  "formula": "CaLaHo2S4",
  "functional": "GGA-PBE",
  "state": "optimized geometry",
  "cell": [[-0.130, 3.938, 0.393], [-0.998, -0.714, 6.819], [6.141, -0.114, 3.180]],
  "species": ["Ca", "La", "Ho", "Ho", "S", "S", "S", "S"],
  "frac_coords": [[0.000, 0.500, 0.500], [0.500, 0.500, 0.000], [0.000, 0.000, 0.000], [0.500, 0.000, 0.500], [0.000, 0.766, 0.738], [0.000, 0.234, 0.262], [0.500, 0.762, 0.252], [0.500, 0.238, 0.748]],
  "final_energy_ev_per_cell": -49.0,
  "sg": "P2/m, No. 10",
  "total_magnetization_mub_per_atom": 0.000,
  "raw_formation_energy_ev_per_atom": -2.049
}

=====

(6)
{
  "formula": "CaLa2HoS4",
  "functional": "GGA-PBE",
  "state": "optimized geometry",
  "cell": [[4.021, 0.000, 0.000], [0.000, 6.991, 0.133], [0.000, -2.432, 6.656]],
  "species": ["Ca", "La", "La", "Ho", "S", "S", "S", "S"],
  "frac_coords": [[0.500, 0.500, 0.000], [0.500, 0.000, 0.500], [0.000, 0.500, 0.500], [0.000, 0.000, 0.000], [0.500, 0.240, 0.230], [0.500, 0.760, 0.770], [0.000, 0.252, 0.767], [0.000, 0.748, 0.233]],
  "final_energy_ev_per_cell": -49.7,
  "sg": "P2/m, No. 10",
  "total_magnetization_mub_per_atom": 0.000,
  "raw_formation_energy_ev_per_atom": -2.090
}

=====

(7)
{
  "formula": "CaLa2HoSb4",
  "functional": "GGA-PBE",
  "state": "optimized geometry",
  "cell": [[-3.444, -0.440, 2.962], [4.325, -4.743, 4.325], [4.078, 4.224, 5.370]],
  "species": ["Ca", "La", "La", "Ho", "Sb", "Sb", "Sb", "Sb"],
  "frac_coords": [[0.500, 0.500, 0.000], [0.000, 0.000, 0.000], [0.500, 0.000, 0.500], [0.000, 0.500, 0.500], [0.000, 0.742, 0.747], [0.000, 0.258, 0.253], [0.500, 0.738, 0.259], [0.500, 0.262, 0.741]],
  "final_energy_ev_per_cell": -41.6,
  "sg": "P2/m, No. 10",
  "total_magnetization_mub_per_atom": 0.000,
  "raw_formation_energy_ev_per_atom": -1.086
}

=====

(8)
{
  "formula": "CaLaHoSc",
  "functional": "GGA-PBE",
  "state": "optimized geometry",
  "cell": [[5.700, 0.000, 0.000], [2.850, 4.936, 0.000], [2.850, 1.645, 4.654]],
  "species": ["Sc", "Ca", "Ho", "La"],
  "frac_coords": [[0.000, 0.000, 0.000], [0.500, 0.500, 0.500], [0.250, 0.250, 0.250], [0.750, 0.750, 0.750]],
  "final_energy_ev_per_cell": -17.2,
  "sg": "F-43m, No. 216",
  "total_magnetization_mub_per_atom": 0.005,
  "e_form_ev_per_atom": 0.150
}

=====

(9)
{
  "formula": "CaLa3Ho3Se8",
  "functional": "GGA-PBE",
  "state": "optimized geometry",
  "cell": [[8.284, 0.000, 0.000], [-4.142, 7.173, -0.027], [0.000, -4.758, 6.944]],
  "species": ["Ca", "La", "La", "La", "Ho", "Ho", "Ho", "Se", "Se", "Se", "Se", "Se", "Se", "Se", "Se"],
  "frac_coords": [[0.000, 0.000, 0.500], [0.000, 0.000, 0.000], [0.000, 0.500, 0.000], [0.500, 0.500, 0.000], [0.500, 0.000, 0.500], [0.500, 0.500, 0.500], [0.000, 0.500, 0.500], [0.256, 0.513, 0.269], [0.744, 0.487, 0.731], [0.750, 0.500, 0.263], [0.250, 0.500, 0.737], [0.750, 0.013, 0.263], [0.250, 0.987, 0.737], [0.263, 0.013, 0.263], [0.737, 0.987, 0.737]],
  "final_energy_ev_per_cell": -87.4,
  "sg": "R-3m, No. 166",
  "total_magnetization_mub_per_atom": 0.000,
  "raw_formation_energy_ev_per_atom": -1.932
}

=====

(10)
{
  "formula": "CaLa2HoSe4",
  "functional": "GGA-PBE",
  "state": "optimized geometry",
  "cell": [[4.187, 0.000, 0.000], [0.000, 7.275, 0.138], [0.000, -2.531, 6.924]],
  "species": ["Ca", "La", "La", "Ho", "Se", "Se", "Se", "Se"],
  "frac_coords": [[0.500, 0.500, 0.000], [0.500, 0.000, 0.500], [0.000, 0.500, 0.500], [0.000, 0.000, 0.000], [0.500, 0.241, 0.231], [0.500, 0.759, 0.769], [0.000, 0.252, 0.766], [0.000, 0.748, 0.234]],
  "final_energy_ev_per_cell": -45.7,
  "sg": "P2/m, No. 10",
  "total_magnetization_mub_per_atom": 0.000,
  "raw_formation_energy_ev_per_atom": -1.916
}

=====

(11)
{
  "formula": "Ca2LaHoSe4",
  "functional": "GGA-PBE",
  "state": "optimized geometry",
  "cell": [[-0.035, 1.799, -3.760], [-4.112, -5.388, -2.539], [-4.334, 5.313, 2.582]],
  "species": ["Ca", "Ca", "La", "Ho", "Se", "Se", "Se", "Se"],
  "frac_coords": [[0.500, 0.000, 0.500], [0.000, 0.500, 0.500], [0.500, 0.500, 0.000], [0.000, 0.000, 0.000], [0.500, 0.240, 0.248], [0.500, 0.760, 0.752], [0.000, 0.238, 0.744], [0.000, 0.762, 0.256]],
  "final_energy_ev_per_cell": -42.7,
  "sg": "P2/m, No. 10",
  "total_magnetization_mub_per_atom": 0.000,
  "raw_formation_energy_ev_per_atom": -1.905
}

=====

(12)
{
  "formula": "CaLaSmHo",
  "functional": "GGA-PBE",
  "state": "optimized geometry",
  "cell": [[-5.329, 0.611, -2.362], [-4.614, -2.655, 2.452], [-4.082, 3.174, 2.759]],
  "species": ["Ca", "Ho", "Sm", "La"],
  "frac_coords": [[0.250, 0.250, 0.250], [0.750, 0.750, 0.750], [0.000, 0.000, 0.000], [0.500, 0.500, 0.500]],
  "final_energy_ev_per_cell": -15.7,
  "sg": "F-43m, No. 216",
  "total_magnetization_mub_per_atom": 0.000,
  "e_form_ev_per_atom": 0.119
}

=====

(13)
{
  "formula": "CaLa3Sm6Ho2",
  "functional": "GGA-PBE",
  "state": "optimized geometry",
  "cell": [[6.356, -0.004, 0.016], [-3.180, 5.503, 0.016], [-1.089, -1.886, 11.873]],
  "species": ["Ca", "La", "La", "La", "Sm", "Sm", "Sm", "Sm", "Sm", "Sm", "Ho", "Ho"],
  "frac_coords": [[0.000, 0.000, 0.000], [0.166, 0.834, 0.500], [0.834, 0.166, 0.500], [0.500, 0.500, 0.500], [0.917, 0.576, 0.753], [0.743, 0.743, 0.247], [0.083, 0.424, 0.247], [0.576, 0.917, 0.753], [0.257, 0.257, 0.753], [0.424, 0.083, 0.247], [0.333, 0.667, 0.000], [0.667, 0.333, 0.000]],
  "final_energy_ev_per_cell": -53.7,
  "sg": "C2/m, No. 12",
  "total_magnetization_mub_per_atom": 0.000,
  "e_form_ev_per_atom": 0.049
}

=====

(14)
{
  "formula": "SrCaLaHo",
  "functional": "GGA-PBE",
  "state": "optimized geometry",
  "cell": [[6.075, 0.000, 0.000], [3.038, 5.261, 0.000], [3.038, 1.754, 4.960]],
  "species": ["Sr", "Ca", "Ho", "La"],
  "frac_coords": [[0.250, 0.250, 0.250], [0.500, 0.500, 0.500], [0.000, 0.000, 0.000], [0.750, 0.750, 0.750]],
  "final_energy_ev_per_cell": -12.5,
  "sg": "F-43m, No. 216",
  "total_magnetization_mub_per_atom": 0.000,
  "e_form_ev_per_atom": 0.177
}

=====

(15)
{
  "formula": "CaLaTbHo",
  "functional": "GGA-PBE",
  "state": "optimized geometry",
  "cell": [[5.834, 0.000, 0.000], [2.917, 5.052, 0.000], [2.917, 1.684, 4.763]],
  "species": ["Ca", "Tb", "Ho", "La"],
  "frac_coords": [[0.250, 0.250, 0.250], [0.000, 0.000, 0.000], [0.750, 0.750, 0.750], [0.500, 0.500, 0.500]],
  "final_energy_ev_per_cell": -15.6,
  "sg": "F-43m, No. 216",
  "total_magnetization_mub_per_atom": 0.000,
  "e_form_ev_per_atom": 0.130
}

=====

(16)
{
  "formula": "CaLa2Ho3Te6",
  "functional": "GGA-PBE",
  "state": "optimized geometry",
  "cell": [[-2.815, 2.782, -1.953], [-5.427, -6.850, -1.932], [-1.702, 1.573, 9.679]],
  "species": ["Ca", "La", "La", "Ho", "Ho", "Ho", "Te", "Te", "Te", "Te", "Te", "Te"],
  "frac_coords": [[0.500, 0.000, 0.000], [0.829, 0.661, 0.659], [0.171, 0.339, 0.341], [0.500, 0.500, 0.000], [0.830, 0.171, 0.659], [0.170, 0.829, 0.341], [0.334, 0.931, 0.668], [0.660, 0.592, 0.321], [0.666, 0.069, 0.332], [0.996, 0.252, 0.992], [0.004, 0.748, 0.008], [0.340, 0.408, 0.679]],
  "final_energy_ev_per_cell": -61.6,
  "sg": "C2/m, No. 12",
  "total_magnetization_mub_per_atom": 0.000,
  "raw_formation_energy_ev_per_atom": -1.432
}

=====

(17)
{
  "formula": "CaLa4Ho3Te8",
  "functional": "GGA-PBE",
  "state": "optimized geometry",
  "cell": [[-3.346, -6.852, -4.593], [-2.904, -3.723, 7.669], [-2.408, 8.324, -2.037]],
  "species": ["Ca", "La", "La", "La", "La", "Ho", "Ho", "Ho", "Te", "Te", "Te", "Te", "Te", "Te", "Te", "Te"],
  "frac_coords": [[0.000, 0.500, 0.000], [0.500, 0.000, 0.000], [0.500, 0.000, 0.500], [0.000, 0.000, 0.000], [0.000, 0.000, 0.500], [0.500, 0.500, 0.000], [0.500, 0.500, 0.500], [0.000, 0.500, 0.500], [0.245, 0.733, 0.987], [0.246, 0.733, 0.491], [0.256, 0.268, 0.512], [0.742, 0.733, 0.987], [0.258, 0.267, 0.013], [0.744, 0.732, 0.488], [0.754, 0.267, 0.509], [0.755, 0.267, 0.013]],
  "final_energy_ev_per_cell": -84.0,
  "sg": "R-3m, No. 166",
  "total_magnetization_mub_per_atom": 0.000,
  "raw_formation_energy_ev_per_atom": -1.464
}

=====

(18)
{
  "formula": "CaLa3Ho2Te6",
  "functional": "GGA-PBE",
  "state": "optimized geometry",
  "cell": [[-4.411, -0.441, -0.362], [1.149, -6.043, -6.631], [2.076, -5.192, 8.350]],
  "species": ["Ca", "La", "La", "La", "Ho", "Ho", "Te", "Te", "Te", "Te", "Te", "Te"],
  "frac_coords": [[0.500, 0.000, 0.000], [0.500, 0.500, 0.000], [0.835, 0.171, 0.669], [0.165, 0.829, 0.331], [0.831, 0.662, 0.663], [0.169, 0.338, 0.337], [0.335, 0.905, 0.671], [0.670, 0.573, 0.340], [0.665, 0.095, 0.329], [0.006, 0.244, 0.012], [0.994, 0.756, 0.988], [0.330, 0.427, 0.660]],
  "final_energy_ev_per_cell": -62.6,
  "sg": "C2/m, No. 12",
  "total_magnetization_mub_per_atom": 0.000,
  "raw_formation_energy_ev_per_atom": -1.480
}

=====

(19)
{
  "formula": "Ca2LaHoTe4",
  "functional": "GGA-PBE",
  "state": "optimized geometry",
  "cell": [[4.449, 0.000, 0.000], [0.000, 7.721, 0.136], [0.000, -2.696, 7.368]],
  "species": ["Ca", "Ca", "La", "Ho", "Te", "Te", "Te", "Te"],
  "frac_coords": [[0.500, 0.000, 0.500], [0.000, 0.500, 0.500], [0.000, 0.000, 0.000], [0.500, 0.500, 0.000], [0.500, 0.261, 0.255], [0.500, 0.739, 0.745], [0.000, 0.260, 0.752], [0.000, 0.740, 0.248]],
  "final_energy_ev_per_cell": -38.1,
  "sg": "P2/m, No. 10",
  "total_magnetization_mub_per_atom": 0.000,
  "raw_formation_energy_ev_per_atom": -1.504
}

=====

(20)
{
  "formula": "CaLaHo2Te4",
  "functional": "GGA-PBE",
  "state": "optimized geometry",
  "cell": [[-3.601, -0.167, 2.540], [-4.412, -0.612, -6.297], [1.996, -7.042, 2.366]],
  "species": ["Ca", "La", "Ho", "Ho", "Te", "Te", "Te", "Te"],
  "frac_coords": [[0.500, 0.500, 0.000], [0.000, 0.000, 0.000], [0.500, 0.000, 0.500], [0.000, 0.500, 0.500], [0.500, 0.260, 0.264], [0.500, 0.740, 0.736], [0.000, 0.251, 0.739], [0.000, 0.749, 0.261]],
  "final_energy_ev_per_cell": -40.0,
  "sg": "P2/m, No. 10",
  "total_magnetization_mub_per_atom": 0.000,
  "raw_formation_energy_ev_per_atom": -1.425
}